(1)
AlNiRh2 (GGA-PBE, relaxed); size of the total moment = 0.000 μB per atom; Fermi-level density of states = 4.70 states/eV/cell; crystal system = orthorhombic; space-group type = Immm, No. 71; E = -5.9664 eV per atom
1.0
-0.473 1.554 -5.860
0.843 -4.859 3.559
-2.180 -1.569 5.456
Ni Rh Al
1 2 1
direct
0.000 0.500 0.500
0.000 0.288 0.288
0.000 0.712 0.712
0.000 0.000 0.000

=====

(2)
Sm8Ge3AsSe4 (GGA-PBE, relaxed); size of the total moment = 0.000 μB per atom; E_form (uncorrected) = -1499.3 meV/atom; Fermi-level density of states = 3.78 states/eV/cell; crystal system = trigonal; space-group type = R-3m, No. 166; E = -5.8864 eV per atom
1.0
-6.249 5.450 -1.552
-5.273 -4.730 4.620
7.240 2.730 3.358
Sm Ge As Se
8 3 1 4
direct
0.247 0.738 0.991
0.247 0.738 0.494
0.253 0.260 0.506
0.744 0.738 0.991
0.256 0.262 0.009
0.747 0.740 0.494
0.753 0.262 0.506
0.753 0.262 0.009
0.500 0.500 0.000
0.500 0.500 0.500
0.000 0.500 0.500
0.000 0.500 0.000
0.500 0.000 0.000
0.500 0.000 0.500
0.000 0.000 0.000
0.000 0.000 0.500

=====

(3)
P2IrIO (GGA-PBE, relaxed); size of the total moment = 0.000 μB per atom; ΔE to the lowest computed polymorph = 1.130 eV/atom; E_form (uncorrected) = 1430.4 meV/atom; Fermi-level density of states = 4.54 states/eV/cell; crystal system = tetragonal; space-group type = P4/mmm, No. 123; E = -3.8074 eV per atom
1.0
5.027 0.000 0.000
0.000 5.027 0.000
0.000 0.000 3.759
I P Ir O
1 2 1 1
direct
0.000 0.000 0.000
0.000 0.500 0.000
0.500 0.000 0.000
0.500 0.500 0.500
0.000 0.000 0.500

=====

Question: Look up the Fermi-level density of states of the second one.
Answer: 3.78 states/eV/cell